Computed, not measured: an optimized crystal structure of Pr12Tl3H5 at the GGA-PBE level of DFT.

Geometry as POSCAR:
```
Pr12Tl3H5
1.0
-8.180 8.180 8.180
8.180 -8.180 8.180
8.180 8.180 -8.180
Pr Tl H
48 12 20
direct
0.014 0.205 0.108
0.014 0.309 0.905
0.095 0.608 0.403
0.095 0.986 0.691
0.097 0.705 0.691
0.097 0.892 0.405
0.108 0.014 0.205
0.108 0.595 0.903
0.191 0.205 0.597
0.191 0.486 0.595
0.205 0.108 0.014
0.205 0.597 0.191
0.295 0.309 0.903
0.295 0.486 0.392
0.309 0.903 0.295
0.309 0.905 0.014
0.392 0.295 0.486
0.392 0.597 0.905
0.403 0.095 0.608
0.403 0.809 0.795
0.405 0.097 0.892
0.405 0.809 0.514
0.486 0.392 0.295
0.486 0.595 0.191
0.514 0.405 0.809
0.514 0.608 0.705
0.595 0.191 0.486
0.595 0.903 0.108
0.597 0.191 0.205
0.597 0.905 0.392
0.608 0.403 0.095
0.608 0.705 0.514
0.691 0.095 0.986
0.691 0.097 0.705
0.705 0.514 0.608
0.705 0.691 0.097
0.795 0.403 0.809
0.795 0.892 0.986
0.809 0.514 0.405
0.809 0.795 0.403
0.892 0.405 0.097
0.892 0.986 0.795
0.903 0.108 0.595
0.903 0.295 0.309
0.905 0.014 0.309
0.905 0.392 0.597
0.986 0.691 0.095
0.986 0.795 0.892
0.125 0.250 0.375
0.125 0.375 0.750
0.250 0.375 0.125
0.250 0.875 0.625
0.375 0.125 0.250
0.375 0.750 0.125
0.625 0.250 0.875
0.625 0.875 0.750
0.750 0.125 0.375
0.750 0.625 0.875
0.875 0.625 0.250
0.875 0.750 0.625
0.000 0.000 0.000
0.000 0.000 0.500
0.000 0.500 0.000
0.000 0.500 0.500
0.125 0.750 0.875
0.125 0.875 0.250
0.250 0.125 0.875
0.250 0.625 0.375
0.375 0.250 0.625
0.375 0.625 0.750
0.500 0.000 0.000
0.500 0.000 0.500
0.500 0.500 0.000
0.500 0.500 0.500
0.625 0.375 0.250
0.625 0.750 0.375
0.750 0.375 0.625
0.750 0.875 0.125
0.875 0.125 0.750
0.875 0.250 0.125
```

Values from the calculation:
The density of states at the Fermi level comes out at 1.206 states/eV per atom. As for the energy: -4.2702 eV per atom. The magnetic moment is 0.00 μB/atom.